Ba4NaTl5: optimized geometry, GGA-PBE.

Cell lengths 4.210, 4.210, 21.105 Å; angles 90.00, 90.00, 90.00 degrees
Element x y z (fractional)
Ba: 0.000 0.000 0.104
Ba: 0.000 0.000 0.311
Ba: 0.000 0.000 0.689
Ba: 0.000 0.000 0.896
Na: 0.000 0.000 0.500
Tl: 0.500 0.500 0.000
Tl: 0.500 0.500 0.206
Tl: 0.500 0.500 0.421
Tl: 0.500 0.500 0.579
Tl: 0.500 0.500 0.794

## Properties
- E_tot (eV/cell) = -24.22
- size of the total moment (μB per cell) = 0.0
- density of states at the Fermi level (states/eV/f.u.) = 6.601
- crystal system = tetragonal
- calculated formation energy (eV per atom) = -0.338
- space group = P4/mmm, No. 123

=====

Na3CuH: optimized geometry, GGA-PBE.

Cell lengths 4.666, 4.666, 4.666 Å; angles 90.00, 90.00, 90.00 degrees
Element x y z (fractional)
Na: 0.000 0.000 0.500
Na: 0.000 0.500 0.000
Na: 0.500 0.000 0.000
Cu: 0.500 0.500 0.500
H: 0.000 0.000 0.000

## Properties
- E_tot (eV/cell) = -10.60
- excess energy over the best structure of this formula in the dataset (kcal/mol of atoms) = 0.00
- size of the total moment (μB per cell) = 0.0
- density of states at the Fermi level (states/eV/f.u.) = 2.986
- crystal system = cubic
- space group = Pm-3m, No. 221

=====

Please write out number 2 again, unchanged.
Na3CuH: optimized geometry, GGA-PBE.

Cell lengths 4.666, 4.666, 4.666 Å; angles 90.00, 90.00, 90.00 degrees
Element x y z (fractional)
Na: 0.000 0.000 0.500
Na: 0.000 0.500 0.000
Na: 0.500 0.000 0.000
Cu: 0.500 0.500 0.500
H: 0.000 0.000 0.000

## Properties
- E_tot (eV/cell) = -10.60
- excess energy over the best structure of this formula in the dataset (kcal/mol of atoms) = 0.00
- size of the total moment (μB per cell) = 0.0
- density of states at the Fermi level (states/eV/f.u.) = 2.986
- crystal system = cubic
- space group = Pm-3m, No. 221

=====

What is the density of states at the Fermi level in the first record?
6.601 states/eV/f.u.

=====

Which value of size of the total moment does entry 2 give?
0.0 μB per cell

=====

density of states at the Fermi level of number 2 (Na3CuH)?
2.986 states/eV/f.u.